<A>
Material: NaSBr3
Method: DFT, PBE
State: optimized geometry

Geometry as POSCAR:
```
NaSBr3
1.0
5.259 0.000 0.000
0.000 5.259 0.000
0.000 0.000 5.259
Na S Br
1 1 3
direct
0.000 0.000 0.000 Na
0.500 0.500 0.500 S
0.000 0.500 0.500 Br
0.500 0.000 0.500 Br
0.500 0.500 0.000 Br
```

Its space group is Pm-3m (221). For the volume, the calculation gives 29.1 A^3/atom.

<B>
Material: NaSBr3
Method: DFT, PBE
State: optimized geometry

Geometry as POSCAR:
```
NaSBr3
1.0
5.550 0.000 0.000
0.000 5.550 0.000
0.000 0.000 5.550
Na S Br
1 1 3
direct
0.000 0.000 0.000 Na
0.500 0.500 0.500 S
0.000 0.000 0.500 Br
0.000 0.500 0.000 Br
0.500 0.000 0.000 Br
```

Its space group is Pm-3m (221). For the volume, the calculation gives 34.2 A^3/atom.

Bottom line: <A>, by a margin of 651 meV/atom.

<A>
Material: Na2SBr
Method: DFT, PBE
State: optimized geometry

Geometry as POSCAR:
```
Na2SBr
1.0
-3.887 3.887 3.170
3.887 -3.887 3.170
3.887 3.887 -3.170
Na S Br
4 2 2
direct
0.101 0.625 0.976 Na
0.375 0.351 0.476 Na
0.649 0.125 0.024 Na
0.875 0.899 0.524 Na
0.000 0.000 0.000 S
0.750 0.250 0.500 S
0.250 0.750 0.500 Br
0.500 0.500 0.000 Br
```

Its space group is I-42d (122). For the volume, the calculation gives 23.9 A^3/atom.

<B>
Material: Na2SBr
Method: DFT, PBE
State: optimized geometry

Geometry as POSCAR:
```
Na2SBr
1.0
1.991 1.149 7.438
-1.991 1.149 7.438
0.000 -2.299 7.438
Na S Br
2 1 1
direct
0.249 0.249 0.249 Na
0.751 0.751 0.751 Na
0.000 0.000 0.000 S
0.500 0.500 0.500 Br
```

Its space group is R-3m (166). For the volume, the calculation gives 25.5 A^3/atom.

<C>
Material: Na2SBr
Method: DFT, PBE
State: optimized geometry

Geometry as POSCAR:
```
Na2SBr
1.0
0.000 3.589 3.589
3.589 0.000 3.589
3.589 3.589 0.000
Na S Br
2 1 1
direct
0.250 0.250 0.250 Na
0.750 0.750 0.750 Na
0.000 0.000 0.000 S
0.500 0.500 0.500 Br
```

Its space group is Fm-3m (225). For the volume, the calculation gives 23.1 A^3/atom.

Bottom line: <B>, by a margin of 86 meV/atom.

<A>
Material: NaS3Br
Method: DFT, PBE
State: optimized geometry

Geometry as POSCAR:
```
NaS3Br
1.0
5.299 0.000 0.000
0.000 5.299 0.000
0.000 0.000 5.299
Na S Br
1 3 1
direct
0.000 0.000 0.000 Na
0.000 0.000 0.500 S
0.000 0.500 0.000 S
0.500 0.000 0.000 S
0.500 0.500 0.500 Br
```

Its space group is Pm-3m (221). For the volume, the calculation gives 29.8 A^3/atom.

<B>
Material: NaS3Br
Method: DFT, PBE
State: optimized geometry

Geometry as POSCAR:
```
NaS3Br
1.0
4.957 0.000 0.000
0.000 4.957 0.000
0.000 0.000 4.957
Na S Br
1 3 1
direct
0.000 0.000 0.000 Na
0.000 0.500 0.500 S
0.500 0.000 0.500 S
0.500 0.500 0.000 S
0.500 0.500 0.500 Br
```

Its space group is Pm-3m (221). For the volume, the calculation gives 24.4 A^3/atom.

Bottom line: <B>, by a margin of 469 meV/atom.

<A>
Material: NaSrSBr2
Method: DFT, PBE
State: optimized geometry

Geometry as POSCAR:
```
NaSrSBr2
1.0
5.293 0.000 0.000
0.000 5.293 0.000
0.000 0.000 5.274
Na Sr S Br
1 1 1 2
direct
0.000 0.000 0.000 Na
0.500 0.500 0.500 Sr
0.000 0.000 0.500 S
0.000 0.500 0.000 Br
0.500 0.000 0.000 Br
```

Its space group is P4/mmm (123). For the volume, the calculation gives 29.6 A^3/atom.

<B>
Material: NaSrSBr2
Method: DFT, PBE
State: optimized geometry

Geometry as POSCAR:
```
NaSrSBr2
1.0
5.699 0.000 0.000
0.000 5.699 0.000
0.000 0.000 15.738
Na Sr S Br
1 1 1 2
direct
0.000 0.000 0.000 Na
0.000 0.000 0.500 Sr
0.500 0.500 0.000 S
0.000 0.500 0.500 Br
0.500 0.000 0.500 Br
```

Its space group is P4/mmm (123). For the volume, the calculation gives 102.2 A^3/atom.

Bottom line: <A>, by a margin of 271 meV/atom.

<A>
Material: Na2SbBr
Method: DFT, PBE
State: optimized geometry

Geometry as POSCAR:
```
Na2SbBr
1.0
-4.130 4.130 3.435
4.130 -4.130 3.435
4.130 4.130 -3.435
Na Sb Br
4 2 2
direct
0.095 0.625 0.970 Na
0.375 0.345 0.470 Na
0.655 0.125 0.030 Na
0.875 0.905 0.530 Na
0.250 0.750 0.500 Sb
0.500 0.500 0.000 Sb
0.000 0.000 0.000 Br
0.750 0.250 0.500 Br
```

Its space group is I-42d (122). For the volume, the calculation gives 29.3 A^3/atom.

<B>
Material: Na2SbBr
Method: DFT, PBE
State: optimized geometry

Geometry as POSCAR:
```
Na2SbBr
1.0
0.000 3.905 3.905
3.905 0.000 3.905
3.905 3.905 0.000
Na Sb Br
2 1 1
direct
0.250 0.250 0.250 Na
0.750 0.750 0.750 Na
0.000 0.000 0.000 Sb
0.500 0.500 0.500 Br
```

Its space group is Fm-3m (225). For the volume, the calculation gives 29.8 A^3/atom.

Bottom line: <A>, by a margin of 111 meV/atom.

<A>
Material: Na2SbBr
Method: DFT, PBE
State: optimized geometry

Geometry as POSCAR:
```
Na2SbBr
1.0
1.912 1.104 9.714
-1.912 1.104 9.714
0.000 -2.207 9.714
Na Sb Br
2 1 1
direct
0.102 0.102 0.102 Na
0.898 0.898 0.898 Na
0.000 0.000 0.000 Sb
0.500 0.500 0.500 Br
```

Its space group is R-3m (166). For the volume, the calculation gives 30.7 A^3/atom.

<B>
Material: Na2SbBr
Method: DFT, PBE
State: optimized geometry

Geometry as POSCAR:
```
Na2SbBr
1.0
3.502 0.000 0.000
0.000 3.502 0.000
0.000 0.000 8.519
Na Sb Br
2 1 1
direct
0.000 0.000 0.216 Na
0.000 0.000 0.784 Na
0.500 0.500 0.500 Sb
0.500 0.500 0.000 Br
```

Its space group is P4/mmm (123). For the volume, the calculation gives 26.1 A^3/atom.

Bottom line: <B>, by a margin of 149 meV/atom.